VASP calculation (PBEsol) on an optimized crystal structure of BaSbI2Cl.

Space-group type: P4/mmm
Fermi-level density of states, states/eV per atom: 1.085
Total moment, Bohr magnetons per cell: 1.67
Formation energy without anion corrections, meV/atom: -431

abc: 5.0015 6.3407 6.3407
angles: 90.00 90.00 90.00
Closest atoms and distances in Å follow each position.
Sites, in units of the cell vectors:
I (0.0000, 0.0000, 0.5000)  2 Cl 3.17
I (0.0000, 0.5000, 0.0000)  2 Cl 3.17
Ba (0.5000, 0.5000, 0.5000)  8 I 4.04, 4 Sb 4.48
Cl (0.0000, 0.0000, 0.0000)  2 Sb 2.50
Sb (0.5000, 0.0000, 0.0000)  2 Cl 2.50